No. 1
This record from Alexandria via LeMat-Bulk describes crystalline ZrCoSi2Rh at its relaxed geometry. The functional is PBE.

Geometry as CIF:
```
data_ZrCoSi2Rh
_chemical_formula_sum 'Zr2 Co2 Si4 Rh2'
_symmetry_space_group_name_H-M 'I -4 m 2'
_symmetry_Int_Tables_number 119
_symmetry_space_group_name_Hall 'I -4 -2'
_cell_length_a 3.843
_cell_length_b 3.843
_cell_length_c 9.876
_cell_angle_alpha 90.00
_cell_angle_beta 90.00
_cell_angle_gamma 90.00
loop_
_atom_site_label
_atom_site_fract_x
_atom_site_fract_y
_atom_site_fract_z
Zr1 0.000 0.000 0.000
Co1 0.000 0.500 0.250
Si1 0.000 0.000 0.382
Rh1 0.000 0.500 0.750
```

Results
M_tot (μB per cell): 0.00
Raw formation energy (kJ/mol of atoms): -84.9

No. 2
This record from Alexandria via LeMat-Bulk describes crystalline Tb2Si4Ir3 at its relaxed geometry. The functional is PBE.

Geometry as CIF:
```
data_Tb2Si4Ir3
_chemical_formula_sum 'Tb8 Si16 Ir12'
_symmetry_space_group_name_H-M 'C m c e'
_symmetry_Int_Tables_number 64
_symmetry_space_group_name_Hall '-C 2ac 2'
_cell_length_a 5.621
_cell_length_b 14.719
_cell_length_c 7.199
_cell_angle_alpha 90.00
_cell_angle_beta 90.00
_cell_angle_gamma 90.00
loop_
_atom_site_label
_atom_site_fract_x
_atom_site_fract_y
_atom_site_fract_z
Tb1 0.000 0.106 0.094
Si1 0.000 0.181 0.476
Si2 0.250 0.062 0.750
Ir1 0.000 0.000 0.500
Ir2 0.250 0.228 0.750
```

Results
M_tot (μB per cell): 0.00
Raw formation energy (kJ/mol of atoms): -90.7

No. 3
This record from Alexandria via LeMat-Bulk describes crystalline ZrHCl at its relaxed geometry. The functional is PBE.

Geometry as CIF:
```
data_ZrHCl
_chemical_formula_sum 'Zr2 H2 Cl2'
_symmetry_space_group_name_H-M 'P -1'
_symmetry_Int_Tables_number 2
_symmetry_space_group_name_Hall '-P 1'
_cell_length_a 3.242
_cell_length_b 5.395
_cell_length_c 6.863
_cell_angle_alpha 72.94
_cell_angle_beta 80.45
_cell_angle_gamma 89.98
loop_
_atom_site_label
_atom_site_fract_x
_atom_site_fract_y
_atom_site_fract_z
Zr1 0.246 0.249 0.012
H1 0.195 0.847 0.154
Cl1 0.353 0.677 0.707
```

Results
M_tot (μB per cell): 0.00
DFT total energy (eV/atom): -5.479

No. 4
This record from Alexandria via LeMat-Bulk describes crystalline LaSmLuAg at its relaxed geometry. The functional is PBE.

Geometry as CIF:
```
data_LaSmLuAg
_chemical_formula_sum 'La4 Sm4 Lu4 Ag4'
_symmetry_space_group_name_H-M 'F -4 3 m'
_symmetry_Int_Tables_number 216
_symmetry_space_group_name_Hall 'F -4 2 3'
_cell_length_a 7.750
_cell_length_b 7.750
_cell_length_c 7.750
_cell_angle_alpha 90.00
_cell_angle_beta 90.00
_cell_angle_gamma 90.00
loop_
_atom_site_label
_atom_site_fract_x
_atom_site_fract_y
_atom_site_fract_z
La1 0.000 0.000 0.000
Sm1 0.000 0.000 0.500
Lu1 0.250 0.250 0.250
Ag1 0.250 0.250 0.750
```

Results
M_tot (μB per cell): 0.00
E_form (meV per atom): 37

No. 5
This record from Alexandria via LeMat-Bulk describes crystalline FeReAgIr2 at its relaxed geometry. The functional is PBE.

Geometry as CIF:
```
data_FeReAgIr2
_chemical_formula_sum 'Fe1 Re1 Ag1 Ir2'
_symmetry_space_group_name_H-M 'P 4/m m m'
_symmetry_Int_Tables_number 123
_symmetry_space_group_name_Hall '-P 4 2'
_cell_length_a 4.730
_cell_length_b 4.730
_cell_length_c 4.398
_cell_angle_alpha 90.00
_cell_angle_beta 90.00
_cell_angle_gamma 90.00
loop_
_atom_site_label
_atom_site_fract_x
_atom_site_fract_y
_atom_site_fract_z
Fe1 0.000 0.000 0.000
Re1 0.500 0.500 0.000
Ag1 0.000 0.000 0.500
Ir1 0.000 0.500 0.500
```

Results
M_tot (μB per cell): 4.17
E_form (meV per atom): 2620

No. 6
This record from Alexandria via LeMat-Bulk describes crystalline K2UHgO6 at its relaxed geometry. The functional is PBE.

Geometry as CIF:
```
data_K2UHgO6
_chemical_formula_sum 'K4 U2 Hg2 O12'
_symmetry_space_group_name_H-M 'C 1 2/m 1'
_symmetry_Int_Tables_number 12
_symmetry_space_group_name_Hall '-C 2y'
_cell_length_a 11.768
_cell_length_b 5.867
_cell_length_c 5.672
_cell_angle_alpha 90.00
_cell_angle_beta 117.82
_cell_angle_gamma 90.00
loop_
_atom_site_label
_atom_site_fract_x
_atom_site_fract_y
_atom_site_fract_z
K1 0.246 0.000 0.215
U1 0.000 0.500 0.000
Hg1 0.000 0.000 0.500
O1 0.052 0.241 0.794
O2 0.178 0.500 0.255
```

Results
M_tot (μB per cell): 0.00
Raw formation energy (kJ/mol of atoms): -173.3

No. 7
This record from Alexandria via LeMat-Bulk describes crystalline Ta2AsH at its relaxed geometry. The functional is PBE.

Geometry as CIF:
```
data_Ta2AsH
_chemical_formula_sum 'Ta8 As4 H4'
_symmetry_space_group_name_H-M 'I -4 2 d'
_symmetry_Int_Tables_number 122
_symmetry_space_group_name_Hall 'I -4 2bw'
_cell_length_a 6.158
_cell_length_b 6.158
_cell_length_c 5.827
_cell_angle_alpha 90.00
_cell_angle_beta 90.00
_cell_angle_gamma 90.00
loop_
_atom_site_label
_atom_site_fract_x
_atom_site_fract_y
_atom_site_fract_z
Ta1 0.161 0.250 0.125
As1 0.000 0.000 0.500
H1 0.000 0.000 0.000
```

Results
M_tot (μB per cell): 0.00
DFT total energy (eV/atom): -8.044

No. 8
This record from Alexandria via LeMat-Bulk describes crystalline BaPb3F at its relaxed geometry. The functional is PBE.

Geometry as CIF:
```
data_BaPb3F
_chemical_formula_sum 'Ba1 Pb3 F1'
_symmetry_space_group_name_H-M 'P m -3 m'
_symmetry_Int_Tables_number 221
_symmetry_space_group_name_Hall '-P 4 2 3'
_cell_length_a 6.493
_cell_length_b 6.493
_cell_length_c 6.493
_cell_angle_alpha 90.00
_cell_angle_beta 90.00
_cell_angle_gamma 90.00
loop_
_atom_site_label
_atom_site_fract_x
_atom_site_fract_y
_atom_site_fract_z
Ba1 0.000 0.000 0.000
Pb1 0.000 0.000 0.500
F1 0.500 0.500 0.500
```

Results
M_tot (μB per cell): 1.47
Raw formation energy (kJ/mol of atoms): 58.9